# GGA-PBE CdPF, relaxed
# energy relative to the elements, uncorrected: -0.882 eV/atom
# total DFT energy (no corrections): -21.7 eV/cell
data_CdPF
_chemical_formula_sum 'Cd2 P2 F2'
_cell_length_a 4.3682
_cell_length_b 4.3682
_cell_length_c 8.0436
_cell_angle_alpha 91.85
_cell_angle_beta 91.85
_cell_angle_gamma 51.41
_space_group_name_H-M_alt 'P 1'
_space_group_IT_number 1
loop_
_space_group_symop_operation_xyz
'x,y,z'
loop_
_atom_site_label
_atom_site_fract_x
_atom_site_fract_y
_atom_site_fract_z
Cd1 0.2078 0.2078 0.2083
Cd2 0.7922 0.7922 0.7917
P1 0.4958 0.4958 0.6256
P2 0.5042 0.5042 0.3744
F1 0.3385 0.3385 0.9410
F2 0.6615 0.6615 0.0590



# GGA-PBE CdP3F, relaxed
# energy relative to the elements, uncorrected: 0.695 eV/atom
# total DFT energy (no corrections): -15.5 eV/cell
data_CdP3F
_chemical_formula_sum 'Cd1 P3 F1'
_cell_length_a 4.4442
_cell_length_b 4.4442
_cell_length_c 4.4442
_cell_angle_alpha 90.00
_cell_angle_beta 90.00
_cell_angle_gamma 90.00
_space_group_name_H-M_alt 'P 1'
_space_group_IT_number 1
loop_
_space_group_symop_operation_xyz
'x,y,z'
loop_
_atom_site_label
_atom_site_fract_x
_atom_site_fract_y
_atom_site_fract_z
Cd1 0.0000 0.0000 0.0000
P1 0.0000 0.5000 0.5000
P2 0.5000 0.0000 0.5000
P3 0.5000 0.5000 0.0000
F1 0.5000 0.5000 0.5000



The total magnetization results, record by record, are as follows: 0.00 0.00 μB per atom.